Record 1
DFT (PBE-GGA) results for an optimized crystal structure of MoRu2Rh.

Structure (POSCAR):
```
MoRu2Rh
1.0
5.566 0.000 0.000
0.000 5.566 0.000
2.783 2.783 5.514
Ru Rh Mo
4 2 2
Cartesian
1.382 4.175 1.379 Ru
4.184 1.392 1.379 Ru
4.175 4.165 4.136 Ru
6.958 6.968 4.136 Ru
0.000 0.000 0.000 Rh
5.566 2.783 2.757 Rh
2.783 2.783 0.000 Mo
2.783 5.566 2.757 Mo
```

Calculated values
**Calculated volume**: 85.4 Å³/f.u.
**Total moment**: 0.000 Bohr magnetons per cell
**DFT formation energy**: 1.20 eV per atom
**DOS at the Fermi energy**: 1.208 states/eV/atom
**E_tot**: -7.985 eV per atom
**Distance to the lowest polymorph of the same formula**: 1.283 eV/atom

Record 2
DFT (PBE-GGA) results for an optimized crystal structure of MoRu2Rh.

Structure (POSCAR):
```
MoRu2Rh
1.0
-3.450 3.216 -0.492
-3.377 1.778 -2.815
-3.691 -2.568 1.472
Rh Ru Mo
1 2 1
Cartesian
-2.641 0.599 -0.454 Rh
-3.666 -2.524 1.445 Ru
-7.911 1.780 -1.352 Ru
-5.250 1.217 -0.919 Mo
```

Calculated values
**Calculated volume**: 57.8 Å³/f.u.
**Total moment**: 0.000 Bohr magnetons per cell
**DFT formation energy**: 0.01 eV per atom
**DOS at the Fermi energy**: 0.965 states/eV/atom
**E_tot**: -9.179 eV per atom
**Distance to the lowest polymorph of the same formula**: 0.090 eV/atom

Record 3
DFT (PBE-GGA) results for an optimized crystal structure of MoRu3Rh.

Structure (POSCAR):
```
MoRu3Rh
1.0
4.599 0.000 0.000
0.000 4.599 0.000
0.000 0.000 4.599
Ru Rh Mo
3 1 1
Cartesian
0.000 2.300 0.000 Ru
2.300 0.000 0.000 Ru
0.000 0.000 2.300 Ru
2.300 2.300 2.300 Rh
0.000 0.000 0.000 Mo
```

Calculated values
**Calculated volume**: 97.3 Å³/f.u.
**Total moment**: 3.267 Bohr magnetons per cell
**DFT formation energy**: 1.75 eV per atom
**DOS at the Fermi energy**: 1.141 states/eV/atom
**E_tot**: -7.450 eV per atom
**Distance to the lowest polymorph of the same formula**: 0.405 eV/atom

Record 4
DFT (PBE-GGA) results for an optimized crystal structure of MoRu2Rh.

Structure (POSCAR):
```
MoRu2Rh
1.0
3.250 0.000 0.000
0.000 3.250 0.000
0.000 0.000 5.584
Ru Mo Rh
2 1 1
Cartesian
0.000 0.000 2.799 Ru
0.000 0.000 5.577 Ru
1.625 1.625 1.396 Mo
1.625 1.625 4.188 Rh
```

Calculated values
**Calculated volume**: 59.0 Å³/f.u.
**Total moment**: 0.471 Bohr magnetons per cell
**DFT formation energy**: 0.24 eV per atom
**DOS at the Fermi energy**: 1.431 states/eV/atom
**E_tot**: -8.940 eV per atom
**Distance to the lowest polymorph of the same formula**: 0.328 eV/atom

Record 5
DFT (PBE-GGA) results for an optimized crystal structure of Mo2RuRh9.

Structure (POSCAR):
```
Mo2RuRh9
1.0
4.490 -1.383 0.545
1.003 6.023 0.254
-0.174 -0.834 6.039
Mo Rh Ru
2 9 1
Cartesian
4.213 4.091 3.099 Mo
1.106 -0.285 3.740 Mo
3.943 2.419 1.056 Rh
3.484 -0.207 4.956 Rh
1.376 1.387 5.783 Rh
1.835 4.013 1.883 Rh
2.939 3.640 5.489 Rh
5.040 2.131 4.757 Rh
2.380 0.166 1.349 Rh
2.659 1.903 3.419 Rh
0.279 1.675 2.082 Rh
0.000 0.000 0.000 Ru
```

Calculated values
**Calculated volume**: 172.8 Å³/f.u.
**Total moment**: 0.000 Bohr magnetons per cell
**DFT formation energy**: -0.09 eV per atom
**DOS at the Fermi energy**: 1.074 states/eV/atom
**E_tot**: -8.179 eV per atom

Record 6
DFT (PBE-GGA) results for an optimized crystal structure of MoRu2Rh.

Structure (POSCAR):
```
MoRu2Rh
1.0
-2.507 -2.985 -1.993
0.550 -4.255 0.873
-3.040 -2.178 2.277
Rh Mo Ru
1 1 2
Cartesian
-3.748 -7.063 0.869 Rh
-2.498 -4.709 0.579 Mo
-1.249 -2.354 0.290 Ru
0.000 0.000 0.000 Ru
```

Calculated values
**Calculated volume**: 59.3 Å³/f.u.
**Total moment**: 1.513 Bohr magnetons per cell
**DFT formation energy**: 0.38 eV per atom
**DOS at the Fermi energy**: 2.275 states/eV/atom
**E_tot**: -8.802 eV per atom
**Distance to the lowest polymorph of the same formula**: 0.466 eV/atom

Record 7
DFT (PBE-GGA) results for an optimized crystal structure of MoRu2Rh.

Structure (POSCAR):
```
MoRu2Rh
1.0
0.000 3.087 3.087
3.087 0.000 3.087
3.087 3.087 0.000
Rh Ru Mo
1 2 1
Cartesian
3.087 3.087 3.087 Rh
1.544 1.544 1.544 Ru
4.631 4.631 4.631 Ru
0.000 0.000 0.000 Mo
```

Calculated values
**Calculated volume**: 58.9 Å³/f.u.
**Total moment**: 0.000 Bohr magnetons per cell
**DFT formation energy**: 0.30 eV per atom
**DOS at the Fermi energy**: 1.714 states/eV/atom
**E_tot**: -8.885 eV per atom
**Distance to the lowest polymorph of the same formula**: 0.384 eV/atom

Record 8
DFT (PBE-GGA) results for an optimized crystal structure of MoRu2Rh.

Structure (POSCAR):
```
MoRu2Rh
1.0
4.722 -0.001 -0.008
1.571 4.453 0.006
-3.143 -2.232 2.740
Ru Rh Mo
2 1 1
Cartesian
2.363 -0.005 1.366 Ru
-1.570 2.219 2.745 Ru
0.787 2.224 1.372 Rh
3.145 2.229 -0.001 Mo
```

Calculated values
**Calculated volume**: 57.6 Å³/f.u.
**Total moment**: 0.000 Bohr magnetons per cell
**DFT formation energy**: -0.05 eV per atom
**DOS at the Fermi energy**: 0.897 states/eV/atom
**E_tot**: -9.234 eV per atom
**Distance to the lowest polymorph of the same formula**: 0.034 eV/atom

Record 9
DFT (PBE-GGA) results for an optimized crystal structure of MoRu2Rh.

Structure (POSCAR):
```
MoRu2Rh
1.0
2.714 0.000 0.000
-1.357 5.014 0.000
0.000 0.000 8.527
Ru Mo Rh
4 2 2
Cartesian
0.000 3.703 4.450 Ru
1.357 1.311 4.077 Ru
0.000 3.703 8.340 Ru
1.357 1.311 0.187 Ru
0.000 0.139 6.395 Mo
1.357 4.875 2.132 Mo
1.357 2.500 6.395 Rh
0.000 2.514 2.132 Rh
```

Calculated values
**Calculated volume**: 58.0 Å³/f.u.
**Total moment**: 0.000 Bohr magnetons per cell
**DFT formation energy**: 0.01 eV per atom
**DOS at the Fermi energy**: 0.894 states/eV/atom
**E_tot**: -9.169 eV per atom
**Distance to the lowest polymorph of the same formula**: 0.099 eV/atom

Record 10
DFT (PBE-GGA) results for an optimized crystal structure of Mo2Ru5Rh.

Structure (POSCAR):
```
Mo2Ru5Rh
1.0
5.477 0.001 0.000
-2.738 3.834 2.738
0.000 -0.001 5.477
Rh Ru Mo
1 5 2
Cartesian
2.739 2.130 2.738 Rh
1.369 0.213 4.108 Ru
0.000 2.129 5.477 Ru
4.108 0.213 4.108 Ru
1.369 0.213 1.369 Ru
4.108 0.213 1.369 Ru
2.739 2.130 5.477 Mo
0.000 2.130 2.738 Mo
```

Calculated values
**Calculated volume**: 115.0 Å³/f.u.
**Total moment**: 0.000 Bohr magnetons per cell
**DFT formation energy**: -0.04 eV per atom
**DOS at the Fermi energy**: 0.843 states/eV/atom
**E_tot**: -9.466 eV per atom

Record 11
DFT (PBE-GGA) results for an optimized crystal structure of TaMo2RuRh.

Structure (POSCAR):
```
TaMo2RuRh
1.0
4.609 0.000 0.000
0.000 4.740 0.000
0.000 0.000 4.609
Mo Ta Rh Ru
2 1 1 1
Cartesian
0.000 0.000 2.305 Mo
2.305 0.000 0.000 Mo
0.000 2.370 0.000 Ta
2.305 2.370 2.305 Rh
0.000 0.000 0.000 Ru
```

Calculated values
**Calculated volume**: 100.7 Å³/f.u.
**Total moment**: 0.000 Bohr magnetons per cell
**DFT formation energy**: 1.46 eV per atom
**DOS at the Fermi energy**: 1.179 states/eV/atom
**E_tot**: -8.569 eV per atom

Record 12
DFT (PBE-GGA) results for an optimized crystal structure of TcMoRuRh.

Structure (POSCAR):
```
TcMoRuRh
1.0
3.894 0.000 0.000
0.000 3.894 0.002
-1.947 -1.945 3.850
Tc Mo Rh Ru
1 1 1 1
Cartesian
1.947 0.001 2.848 Tc
1.947 1.947 0.924 Mo
0.000 0.000 0.923 Rh
0.000 1.949 2.848 Ru
```

Calculated values
**Calculated volume**: 58.4 Å³/f.u.
**Total moment**: 0.000 Bohr magnetons per cell
**DFT formation energy**: -0.02 eV per atom
**DOS at the Fermi energy**: 1.127 states/eV/atom
**E_tot**: -9.472 eV per atom

Record 13
DFT (PBE-GGA) results for an optimized crystal structure of ZrMoRuRh2.

Structure (POSCAR):
```
ZrMoRuRh2
1.0
-1.163 -3.759 -2.507
-0.554 -2.421 3.886
-4.483 1.281 0.159
Zr Rh Ru Mo
1 2 1 1
Cartesian
-3.100 -2.449 0.769 Zr
-2.242 0.641 0.079 Rh
-0.582 -1.879 -1.254 Rh
-0.277 -1.210 1.943 Ru
0.000 0.000 0.000 Mo
```

Calculated values
**Calculated volume**: 100.4 Å³/f.u.
**Total moment**: 0.000 Bohr magnetons per cell
**DFT formation energy**: 0.79 eV per atom
**DOS at the Fermi energy**: 1.432 states/eV/atom
**E_tot**: -7.884 eV per atom

Record 14
DFT (PBE-GGA) results for an optimized crystal structure of Mo2RhS.

Structure (POSCAR):
```
Mo2RhS
1.0
-2.778 -4.482 1.822
4.389 -1.451 3.124
-1.104 -0.164 6.457
Mo Rh S
4 2 2
Cartesian
-0.161 -2.368 6.742 Mo
2.081 -1.571 3.820 Mo
0.520 -5.294 9.126 Mo
-1.424 -2.960 3.118 Mo
-1.538 -3.806 5.376 Rh
0.000 0.000 0.000 Rh
2.046 -2.291 6.027 S
0.805 -2.967 2.473 S
```

Calculated values
**Calculated volume**: 81.4 Å³/f.u.
**Total moment**: 0.000 Bohr magnetons per cell
**DOS at the Fermi energy**: 0.964 states/eV/atom
**E_form (uncorrected)**: 0.524 eV per atom
**E_tot**: -7.761 eV per atom

Record 15
DFT (PBE-GGA) results for an optimized crystal structure of MoRh2S.

Structure (POSCAR):
```
MoRh2S
1.0
5.521 0.000 0.000
0.000 5.521 0.000
2.761 2.761 5.221
Mo Rh S
2 4 2
Cartesian
5.521 2.761 2.610 Mo
0.000 0.000 0.000 Mo
4.141 4.266 3.916 Rh
4.017 1.380 1.305 Rh
1.505 4.141 1.305 Rh
6.902 6.777 3.916 Rh
2.761 2.761 0.000 S
2.761 5.521 2.610 S
```

Calculated values
**Calculated volume**: 79.6 Å³/f.u.
**Total moment**: 0.000 Bohr magnetons per cell
**DOS at the Fermi energy**: 0.567 states/eV/atom
**E_form (uncorrected)**: 0.358 eV per atom
**E_tot**: -7.057 eV per atom

Record 16
DFT (PBE-GGA) results for an optimized crystal structure of SbMoRhS2.

Structure (POSCAR):
```
SbMoRhS2
1.0
5.025 0.000 0.000
0.000 4.869 0.000
0.000 0.000 5.025
S Sb Mo Rh
2 1 1 1
Cartesian
0.000 0.000 2.512 S
2.512 0.000 0.000 S
0.000 0.000 0.000 Sb
2.512 2.434 2.512 Mo
0.000 2.434 0.000 Rh
```

Calculated values
**Calculated volume**: 122.9 Å³/f.u.
**Total moment**: 4.044 Bohr magnetons per cell
**DOS at the Fermi energy**: 0.908 states/eV/atom
**E_form (uncorrected)**: 1.279 eV per atom
**E_tot**: -4.833 eV per atom

Record 17
DFT (PBE-GGA) results for an optimized crystal structure of TeMo2RhS.

Structure (POSCAR):
```
TeMo2RhS
1.0
-4.236 -2.654 -0.516
1.603 -3.058 2.564
-1.949 2.333 4.001
Te Mo Rh S
1 2 1 1
Cartesian
-2.291 -1.690 3.024 Te
-0.975 1.166 2.001 Mo
-2.118 -1.327 -0.258 Mo
0.000 0.000 0.000 Rh
0.802 -1.529 1.282 S
```

Calculated values
**Calculated volume**: 108.6 Å³/f.u.
**Total moment**: 4.474 Bohr magnetons per cell
**DOS at the Fermi energy**: 1.501 states/eV/atom
**E_form (uncorrected)**: 1.137 eV per atom
**E_tot**: -6.119 eV per atom

Record 18
DFT (PBE-GGA) results for an optimized crystal structure of TiMoRhS2.

Structure (POSCAR):
```
TiMoRhS2
1.0
4.593 0.000 0.000
0.000 4.593 0.000
0.000 0.000 4.551
S Rh Mo Ti
2 1 1 1
Cartesian
2.297 0.000 0.000 S
0.000 2.297 0.000 S
0.000 0.000 2.275 Rh
2.297 2.297 2.275 Mo
0.000 0.000 0.000 Ti
```

Calculated values
**Calculated volume**: 96.0 Å³/f.u.
**Total moment**: 3.097 Bohr magnetons per cell
**DOS at the Fermi energy**: 0.574 states/eV/atom
**E_form (uncorrected)**: 0.465 eV per atom
**E_tot**: -6.402 eV per atom

Record 19
DFT (PBE-GGA) results for an optimized crystal structure of SbMo2Rh.

Structure (POSCAR):
```
SbMo2Rh
1.0
-1.716 4.719 1.126
0.112 1.266 4.987
3.342 -1.995 -3.367
Mo Sb Rh
2 1 1
Cartesian
-0.802 2.992 3.057 Mo
0.000 0.000 0.000 Mo
0.412 2.859 0.408 Sb
1.326 1.132 2.338 Rh
```

Calculated values
**Calculated volume**: 65.7 Å³/f.u.
**Total moment**: 0.000 Bohr magnetons per cell
**DOS at the Fermi energy**: 0.821 states/eV/atom
**E_form (uncorrected)**: 0.029 eV per atom
**E_tot**: -8.255 eV per atom

Record 20
DFT (PBE-GGA) results for an optimized crystal structure of SbMo2Rh.

Structure (POSCAR):
```
SbMo2Rh
1.0
-2.660 -3.315 -2.677
3.742 -1.818 2.814
-1.875 -0.337 2.278
Rh Mo Sb
1 2 1
Cartesian
-2.268 -1.826 -0.200 Rh
0.541 -2.566 0.069 Mo
0.000 0.000 0.000 Mo
0.933 -1.078 2.546 Sb
```

Calculated values
**Calculated volume**: 66.7 Å³/f.u.
**Total moment**: 0.000 Bohr magnetons per cell
**DOS at the Fermi energy**: 0.893 states/eV/atom
**E_form (uncorrected)**: 0.173 eV per atom
**E_tot**: -8.111 eV per atom